Density functional theory data (PBE) for ErGaS3 after structural relaxation.

Crystal system ... orthorhombic
ΔE_f (raw) ... -1.357 eV/atom
SG ... Ama2, No. 40

Cell and atoms, written as extended XYZ:
```
10
Lattice="3.859 0.000 0.000 0.000 11.099 3.176 0.000 -11.099 3.176" Properties=species:S:1:pos:R:3 pbc="T T T"
Er 0.965 -7.208 3.176
Er 2.894 7.208 3.176
Ga 0.965 -2.775 2.745
Ga 2.894 2.775 2.745
S 0.965 -4.889 1.686
S 0.965 1.813 1.817
S 0.965 -2.687 4.994
S 2.894 -1.813 1.817
S 2.894 4.889 1.686
S 2.894 2.687 4.994
```

Density functional theory data (PBE) for Er2GaS after structural relaxation.

Crystal system ... trigonal
ΔE to the lowest computed polymorph ... 0.23 eV per formula unit
ΔE_f (raw) ... -1.260 eV/atom
SG ... R-3m, No. 166

Cell and atoms, written as extended XYZ:
```
4
Lattice="1.906 1.100 7.175 -1.906 1.100 7.175 0.000 -2.201 7.175" Properties=species:S:1:pos:R:3 pbc="T T T"
Er 0.000 0.000 5.249
Er 0.000 0.000 16.275
Ga 0.000 0.000 0.000
S 0.000 0.000 10.762
```

Density functional theory data (PBE) for Er7GaS5 after structural relaxation.

Crystal system ... monoclinic
ΔE_f (raw) ... -1.628 eV/atom
SG ... P2_1/m, No. 11

Cell and atoms, written as extended XYZ:
```
26
Lattice="3.857 0.000 0.000 0.000 23.049 0.000 -1.920 0.000 6.396" Properties=species:S:1:pos:R:3 pbc="T T T"
Er 0.000 5.762 0.320
Er 0.002 12.348 1.760
Er 0.002 22.226 1.760
Er 0.005 4.070 4.057
Er 0.005 7.455 4.057
Er 0.009 14.115 5.210
Er 0.009 20.459 5.210
Er 1.928 2.590 1.187
Er 1.928 8.935 1.187
Er 1.932 15.595 2.339
Er 1.932 18.980 2.339
Er 1.935 0.823 4.637
Er 1.935 10.702 4.637
Er 1.937 17.287 6.076
Ga 0.003 17.287 3.895
Ga 1.935 5.762 2.502
S 0.001 14.763 0.610
S 0.001 19.811 0.610
S 0.004 1.641 2.892
S 0.004 9.884 2.892
S 1.928 0.000 0.000
S 1.928 11.525 0.000
S 1.933 13.165 3.504
S 1.933 21.409 3.504
S 1.936 3.239 5.786
S 1.936 8.286 5.786
```

Density functional theory data (PBE) for Er5GaS4 after structural relaxation.

Crystal system ... tetragonal
ΔE_f (raw) ... -1.709 eV/atom
SG ... I4/m, No. 87

Cell and atoms, written as extended XYZ:
```
10
Lattice="-4.398 4.398 2.770 4.398 -4.398 2.770 4.398 4.398 -2.770" Properties=species:S:1:pos:R:3 pbc="T T T"
Er 0.000 0.000 0.000
Er 5.278 1.753 0.000
Er 1.753 3.519 0.000
Er 2.645 0.879 2.770
Er -0.879 2.645 2.770
Ga 0.000 0.000 2.770
S 2.658 0.876 0.000
S 3.523 -1.740 2.770
S 0.876 6.139 0.000
S 1.740 3.523 2.770
```

Density functional theory data (PBE) for Er2GaS after structural relaxation.

Crystal system ... orthorhombic
ΔE to the lowest computed polymorph ... 0.00 eV per formula unit
ΔE_f (raw) ... -1.317 eV/atom
SG ... Cmcm, No. 63

Cell and atoms, written as extended XYZ:
```
8
Lattice="2.055 -10.835 0.000 2.055 10.835 0.000 0.000 0.000 3.920" Properties=species:S:1:pos:R:3 pbc="T T T"
Er 2.055 9.341 2.940
Er 2.055 3.956 2.940
Er 2.055 -3.956 0.980
Er 2.055 -9.341 0.980
Ga 2.055 0.879 2.940
Ga 2.055 -0.879 0.980
S 2.055 6.656 2.940
S 2.055 -6.656 0.980
```

Density functional theory data (PBE) for Er6GaS5 after structural relaxation.

Crystal system ... monoclinic
ΔE_f (raw) ... -1.743 eV/atom
SG ... C2/m, No. 12

Cell and atoms, written as extended XYZ:
```
12
Lattice="3.404 -5.863 0.000 3.404 5.863 0.000 -2.245 0.000 6.398" Properties=species:S:1:pos:R:3 pbc="T T T"
Er 1.138 1.954 1.595
Er 0.014 0.000 4.805
Er 1.138 -1.954 1.595
Er 3.424 1.954 4.803
Er 4.548 0.000 1.593
Er 3.424 -1.954 4.803
Ga 0.000 0.000 0.000
S 2.281 3.895 3.199
S 3.404 1.952 0.000
S 2.281 0.000 3.199
S 3.404 -1.952 0.000
S 2.281 -3.895 3.199
```

Density functional theory data (PBE) for Er2GaS4 after structural relaxation.

Crystal system ... monoclinic
ΔE_f (raw) ... -1.492 eV/atom
SG ... C2/m, No. 12

Cell and atoms, written as extended XYZ:
```
7
Lattice="6.978 -1.939 0.000 6.978 1.939 0.000 -3.234 0.000 6.053" Properties=species:S:1:pos:R:3 pbc="T T T"
Er 2.464 0.000 1.319
Er 8.257 0.000 4.734
Ga 5.361 0.000 3.026
S 0.314 0.000 2.971
S 5.064 0.000 0.409
S 5.658 0.000 5.644
S 10.408 0.000 3.082
```

Density functional theory data (PBE) for ErGaS3 after structural relaxation.

Crystal system ... trigonal
ΔE_f (raw) ... -1.218 eV/atom
SG ... R-3, No. 148

Cell and atoms, written as extended XYZ:
```
10
Lattice="3.262 1.883 5.878 -3.262 1.883 5.878 0.000 -3.766 5.878" Properties=species:S:1:pos:R:3 pbc="T T T"
Er 0.000 0.000 2.594
Er 0.000 0.000 15.041
Ga 0.000 0.000 6.102
Ga 0.000 0.000 11.532
S -1.277 -1.756 7.259
S -2.159 0.228 10.375
S -0.882 1.984 7.259
S 0.882 -1.984 10.375
S 2.159 -0.228 7.259
S 1.277 1.756 10.375
```